VASP calculation (GGA+U) on a relaxed structure of WSeO2.

Structure (POSCAR):
```
WSeO2
1.0
-3.0194 3.0194 4.4390
3.0194 -3.0194 4.4390
3.0194 3.0194 -4.4390
W Se O
2 2 4
Direct
0.3750 0.6250 0.7500
0.6250 0.3750 0.2500
0.1250 0.8750 0.2500
0.8750 0.1250 0.7500
0.0000 0.5000 0.5000
0.5000 0.0000 0.0000
0.5000 0.5000 0.0000
0.5000 0.5000 0.5000
```

Properties
final energy: -5.7309 eV per atom
total magnetic moment: 1.1 μB/f.u.
space-group type: I4_1/amd (141)